Entry 1:
! EuTmInGa | Alexandria | PBE-GGA | optimized geometry; values from VASP
! total moment = 28.2 Bohr magnetons per cell
! crystal system = cubic
! symmetry = F-43m, No. 216
&SYSTEM
  ibrav = 0, nat = 16, ntyp = 4
/
ATOMIC_SPECIES
Eu 151.96 Eu.upf
Tm 168.93 Tm.upf
In 114.82 In.upf
Ga 69.72 Ga.upf
ATOMIC_POSITIONS angstrom
Eu 0.0000 0.0000 0.0000
Eu 0.0000 3.7386 3.7386
Eu 3.7386 0.0000 3.7386
Eu 3.7386 3.7386 0.0000
Tm 0.0000 0.0000 3.7386
Tm 0.0000 3.7386 0.0000
Tm 3.7386 0.0000 0.0000
Tm 3.7386 3.7386 3.7386
In 1.8693 1.8693 1.8693
In 1.8693 5.6080 5.6080
In 5.6080 1.8693 5.6080
In 5.6080 5.6080 1.8693
Ga 1.8693 1.8693 5.6080
Ga 1.8693 5.6080 1.8693
Ga 5.6080 1.8693 1.8693
Ga 5.6080 5.6080 5.6080
CELL_PARAMETERS angstrom
7.4773 0.0000 0.0000
0.0000 7.4773 0.0000
0.0000 0.0000 7.4773

=====

Entry 2:
! EuYInGa | Alexandria | PBE-GGA | optimized geometry; values from VASP
! total moment = 28.5 Bohr magnetons per cell
! crystal system = cubic
! symmetry = F-43m, No. 216
&SYSTEM
  ibrav = 0, nat = 16, ntyp = 4
/
ATOMIC_SPECIES
Eu 151.96 Eu.upf
Y 88.91 Y.upf
In 114.82 In.upf
Ga 69.72 Ga.upf
ATOMIC_POSITIONS angstrom
Eu 0.0000 0.0000 0.0000
Eu 0.0000 3.7636 3.7636
Eu 3.7636 0.0000 3.7636
Eu 3.7636 3.7636 0.0000
Y 0.0000 0.0000 3.7636
Y 0.0000 3.7636 0.0000
Y 3.7636 0.0000 0.0000
Y 3.7636 3.7636 3.7636
In 1.8818 1.8818 1.8818
In 1.8818 5.6454 5.6454
In 5.6454 1.8818 5.6454
In 5.6454 5.6454 1.8818
Ga 1.8818 1.8818 5.6454
Ga 1.8818 5.6454 1.8818
Ga 5.6454 1.8818 1.8818
Ga 5.6454 5.6454 5.6454
CELL_PARAMETERS angstrom
7.5273 0.0000 0.0000
0.0000 7.5273 0.0000
0.0000 0.0000 7.5273

=====

Entry 3:
! EuZnInGa | Alexandria | PBE-GGA | optimized geometry; values from VASP
! total moment = 27.7 Bohr magnetons per cell
! crystal system = cubic
! symmetry = F-43m, No. 216
&SYSTEM
  ibrav = 0, nat = 16, ntyp = 4
/
ATOMIC_SPECIES
Eu 151.96 Eu.upf
Zn 65.41 Zn.upf
In 114.82 In.upf
Ga 69.72 Ga.upf
ATOMIC_POSITIONS angstrom
Eu 0.0000 0.0000 0.0000
Eu 0.0000 3.5590 3.5590
Eu 3.5590 0.0000 3.5590
Eu 3.5590 3.5590 0.0000
Zn 1.7795 1.7795 1.7795
Zn 1.7795 5.3385 5.3385
Zn 5.3385 1.7795 5.3385
Zn 5.3385 5.3385 1.7795
In 0.0000 0.0000 3.5590
In 0.0000 3.5590 0.0000
In 3.5590 0.0000 0.0000
In 3.5590 3.5590 3.5590
Ga 1.7795 1.7795 5.3385
Ga 1.7795 5.3385 1.7795
Ga 5.3385 1.7795 1.7795
Ga 5.3385 5.3385 5.3385
CELL_PARAMETERS angstrom
7.1180 0.0000 0.0000
0.0000 7.1180 0.0000
0.0000 0.0000 7.1180

=====

Entry 4:
! Eu2Ga9Ir3 | Alexandria | PBE-GGA | optimized geometry; values from VASP
! total moment = 27.5 Bohr magnetons per cell
! crystal system = orthorhombic
! symmetry = Cmcm, No. 63
&SYSTEM
  ibrav = 0, nat = 28, ntyp = 3
/
ATOMIC_SPECIES
Eu 151.96 Eu.upf
Ga 69.72 Ga.upf
Ir 192.22 Ir.upf
ATOMIC_POSITIONS angstrom
Eu 4.4162 2.5549 7.3179
Eu 8.7219 2.5549 7.3179
Eu 4.4162 -2.5549 2.4393
Eu 8.7219 -2.5549 2.4393
Ga 4.3816 2.5396 0.7410
Ga 4.3816 2.5396 4.1376
Ga 6.5690 2.8373 2.4393
Ga 6.5690 1.2728 5.4542
Ga 6.5690 1.2728 9.1815
Ga 8.7565 2.5396 0.7410
Ga 8.7565 2.5396 4.1376
Ga 5.2069 0.4557 2.4393
Ga 5.2069 -0.4557 7.3179
Ga 7.9311 0.4557 2.4393
Ga 7.9311 -0.4557 7.3179
Ga 4.3816 -2.5396 5.6195
Ga 4.3816 -2.5396 9.0162
Ga 6.5690 -1.2728 0.5756
Ga 6.5690 -1.2728 4.3030
Ga 6.5690 -2.8373 7.3179
Ga 8.7565 -2.5396 5.6195
Ga 8.7565 -2.5396 9.0162
Ir 0.0000 0.0000 0.0000
Ir 0.0000 0.0000 4.8786
Ir 4.3328 0.0000 0.0000
Ir 4.3328 0.0000 4.8786
Ir 8.8053 0.0000 0.0000
Ir 8.8053 0.0000 4.8786
CELL_PARAMETERS angstrom
6.5690 -3.8321 0.0000
6.5690 3.8321 0.0000
0.0000 0.0000 9.7571

=====

Entry 5:
! EuGaIr | Alexandria | PBE-GGA | optimized geometry; values from VASP
! total moment = 7.0 Bohr magnetons per cell
! crystal system = hexagonal
! symmetry = P-6m2, No. 187
&SYSTEM
  ibrav = 0, nat = 3, ntyp = 3
/
ATOMIC_SPECIES
Eu 151.96 Eu.upf
Ga 69.72 Ga.upf
Ir 192.22 Ir.upf
ATOMIC_POSITIONS angstrom
Eu 0.0000 0.0000 0.0000
Ga 0.0000 2.4746 2.1102
Ir 2.1431 1.2373 2.1102
CELL_PARAMETERS angstrom
4.2862 0.0000 0.0000
-2.1431 3.7119 0.0000
0.0000 0.0000 4.2205

=====

Entry 6:
! Eu2GaIr | Alexandria | PBE-GGA | optimized geometry; values from VASP
! total moment = 41.6 Bohr magnetons per cell
! crystal system = trigonal
! symmetry = R-3m, No. 166
&SYSTEM
  ibrav = 0, nat = 12, ntyp = 3
/
ATOMIC_SPECIES
Eu 151.96 Eu.upf
Ga 69.72 Ga.upf
Ir 192.22 Ir.upf
ATOMIC_POSITIONS angstrom
Eu 0.0000 0.0000 3.2299
Eu 0.0000 0.0000 26.1471
Eu 0.0000 2.2936 16.3548
Eu 0.0000 2.2936 22.8146
Eu 1.9863 1.1468 6.5624
Eu 1.9863 1.1468 13.0223
Ga 0.0000 0.0000 0.0000
Ga 0.0000 2.2936 19.5847
Ga 1.9863 1.1468 9.7923
Ir 0.0000 0.0000 14.6885
Ir 0.0000 2.2936 4.8962
Ir 1.9863 1.1468 24.4808
CELL_PARAMETERS angstrom
3.9726 0.0000 0.0000
-1.9863 3.4404 0.0000
0.0000 0.0000 29.3770

=====

Entry 7:
! EuGaIr2 | Alexandria | PBE-GGA | optimized geometry; values from VASP
! total moment = 20.2 Bohr magnetons per cell
! crystal system = trigonal
! symmetry = R-3m, No. 166
&SYSTEM
  ibrav = 0, nat = 12, ntyp = 3
/
ATOMIC_SPECIES
Eu 151.96 Eu.upf
Ga 69.72 Ga.upf
Ir 192.22 Ir.upf
ATOMIC_POSITIONS angstrom
Eu 0.0000 0.0000 0.0000
Eu 0.0000 2.5681 10.4314
Eu 2.2240 1.2840 5.2157
Ga 0.0000 0.0000 7.8235
Ga 0.0000 2.5681 2.6079
Ga 2.2240 1.2840 13.0392
Ir 0.0000 0.0000 2.8780
Ir 0.0000 0.0000 12.7691
Ir 0.0000 2.5681 7.5534
Ir 0.0000 2.5681 13.3094
Ir 2.2240 1.2840 2.3377
Ir 2.2240 1.2840 8.0937
CELL_PARAMETERS angstrom
4.4481 0.0000 0.0000
-2.2240 3.8521 0.0000
0.0000 0.0000 15.6471

=====

Entry 8:
! Eu2GaIr | Alexandria | PBE-GGA | optimized geometry; values from VASP
! total moment = 13.6 Bohr magnetons per cell
! crystal system = tetragonal
! symmetry = P4/mmm, No. 123
&SYSTEM
  ibrav = 0, nat = 4, ntyp = 3
/
ATOMIC_SPECIES
Eu 151.96 Eu.upf
Ga 69.72 Ga.upf
Ir 192.22 Ir.upf
ATOMIC_POSITIONS angstrom
Eu 0.0000 0.0000 1.6245
Eu 0.0000 0.0000 5.4313
Ga 1.8340 1.8340 3.5279
Ir 1.8340 1.8340 0.0000
CELL_PARAMETERS angstrom
3.6681 0.0000 0.0000
0.0000 3.6681 0.0000
0.0000 0.0000 7.0558

=====

no.,ΔE_f (meV/atom)
1,-432.5
2,-460.3
3,-308.2
4,-597.6
5,-560.2
6,72.8
7,-356.6
8,-334.7